(1)
This record from Alexandria via LeMat-Bulk describes a relaxed structure of Pm2BeAl4Cu3. The functional is PBE-GGA.

Cell lengths 4.2060, 4.2060, 10.0442 Å; angles 90.00, 90.00, 90.00 degrees
Sites, in units of the cell vectors:
Pm 0.0000 0.5000 0.2413
Pm 0.5000 0.0000 0.7587
Be 0.5000 0.5000 0.0000
Al 0.0000 0.0000 0.5000
Al 0.0000 0.5000 0.8763
Al 0.5000 0.0000 0.1237
Al 0.5000 0.5000 0.5000
Cu 0.0000 0.0000 0.0000
Cu 0.0000 0.5000 0.6334
Cu 0.5000 0.0000 0.3666

Output
Total magnetization ... 0.0 μB/cell
Energy of formation ... -0.369 eV per atom

***

(2)
This record from Alexandria via LeMat-Bulk describes a relaxed structure of PmBeAl2Cu4. The functional is PBE-GGA.

Cell lengths 8.7554, 8.7554, 8.7554 Å; angles 27.04, 27.04, 27.04 degrees
Sites, in units of the cell vectors:
Pm 0.0000 0.0000 0.0000
Be 0.5000 0.5000 0.5000
Al 0.2384 0.2384 0.2384
Al 0.7616 0.7616 0.7616
Cu 0.1375 0.1375 0.1375
Cu 0.4100 0.4100 0.4100
Cu 0.5900 0.5900 0.5900
Cu 0.8625 0.8625 0.8625

Output
Total magnetization ... 0.0 μB/cell
Energy of formation ... -0.230 eV per atom

***

(3)
This record from Alexandria via LeMat-Bulk describes a relaxed structure of PmBeAlCu. The functional is PBE-GGA.

Cell lengths 6.4774, 6.4774, 6.4774 Å; angles 90.00, 90.00, 90.00 degrees
Sites, in units of the cell vectors:
Pm 0.0000 0.0000 0.0000
Pm 0.0000 0.5000 0.5000
Pm 0.5000 0.0000 0.5000
Pm 0.5000 0.5000 0.0000
Be 0.2500 0.2500 0.2500
Be 0.2500 0.7500 0.7500
Be 0.7500 0.2500 0.7500
Be 0.7500 0.7500 0.2500
Al 0.0000 0.0000 0.5000
Al 0.0000 0.5000 0.0000
Al 0.5000 0.0000 0.0000
Al 0.5000 0.5000 0.5000
Cu 0.2500 0.2500 0.7500
Cu 0.2500 0.7500 0.2500
Cu 0.7500 0.2500 0.2500
Cu 0.7500 0.7500 0.7500

Output
Total magnetization ... 0.0 μB/cell
Energy of formation ... -0.159 eV per atom

***

(4)
This record from Alexandria via LeMat-Bulk describes a relaxed structure of PmBeAlCu6. The functional is PBE-GGA.

Cell lengths 8.2118, 8.2118, 8.2118 Å; angles 143.42, 123.28, 69.40 degrees
Sites, in units of the cell vectors:
Pm 0.2508 0.0008 0.2500
Pm 0.7492 0.9992 0.7500
Be 0.0000 0.0000 0.5000
Be 0.0000 0.5000 0.0000
Al 0.0000 0.5000 0.5000
Al 0.5000 0.5000 0.0000
Cu 0.1360 0.3860 0.7500
Cu 0.1685 0.4022 0.2524
Cu 0.1685 0.9161 0.7663
Cu 0.3502 0.0839 0.7524
Cu 0.3502 0.5978 0.2663
Cu 0.4995 0.2495 0.2500
Cu 0.5005 0.7505 0.7500
Cu 0.6498 0.4022 0.7337
Cu 0.6498 0.9161 0.2476
Cu 0.8315 0.0839 0.2337
Cu 0.8315 0.5978 0.7476
Cu 0.8640 0.6140 0.2500

Output
Total magnetization ... 0.0 μB/cell
Energy of formation ... -0.047 eV per atom

***

Number 1: V 17.77 Å³/atom. Number 2: V 15.29 Å³/atom. Number 3: V 16.99 Å³/atom. Number 4: V 15.08 Å³/atom.